# UAg3Te4 | Alexandria | PBE | optimized geometry
# * total magnetization: 1.0 Bohr magnetons per cell
# * DOS(E_F): 0.245 states/eV/atom
# * raw formation energy: -180 meV per atom
# * E: -0.31098 Ry per atom
# * excess energy over the best structure of this formula in the dataset: 0 meV per atom
data_UAg3Te4
_cell_length_a 6.635
_cell_length_b 6.635
_cell_length_c 6.635
_cell_angle_alpha 90.00
_cell_angle_beta 90.00
_cell_angle_gamma 90.00
_symmetry_space_group_name_H-M 'P 1'
_symmetry_Int_Tables_number 1
loop_
_symmetry_equiv_pos_as_xyz
'x,y,z'
loop_
_atom_site_label
_atom_site_fract_x
_atom_site_fract_y
_atom_site_fract_z
U1 0.000 0.000 0.000
Ag1 0.000 0.000 0.500
Ag2 0.000 0.500 0.000
Ag3 0.500 0.000 0.000
Te1 0.251 0.251 0.251
Te2 0.251 0.749 0.749
Te3 0.749 0.251 0.749
Te4 0.749 0.749 0.251